<P>
Re2NiB | PBE | relaxed

Summary:
- SG = I-42d
- magnetic moment (μB per atom) = 0.000

Cell lengths 3.6421, 3.6421, 8.5879 Å; angles 77.76, 77.76, 90.00 degrees
Fractional positions:
Re1 0.5938 0.1250 0.2500
Re2 0.1562 0.6250 0.2500
Re3 0.3750 0.4062 0.7500
Re4 0.8750 0.8438 0.7500
B1 0.5000 0.5000 0.0000
B2 0.2500 0.7500 0.5000
Ni1 0.0000 0.0000 0.0000
Ni2 0.7500 0.2500 0.5000

---

<Q>
Re2NiB | PBE | relaxed

Summary:
- SG = Fm-3m
- magnetic moment (μB per atom) = 0.000

Cell lengths 4.0452, 4.0452, 4.0452 Å; angles 60.00, 60.00, 60.00 degrees
Fractional positions:
Re1 0.2500 0.2500 0.2500
Re2 0.7500 0.7500 0.7500
B1 0.0000 0.0000 0.0000
Ni1 0.5000 0.5000 0.5000

---

Result of the stability comparison: <Q> is the most stable of them.